No. 1
Below is TmThZr14 after structural relaxation, with properties calculated at the PBE level.

```
16
Lattice="-3.522 3.569 -3.834 -3.356 -0.748 5.293 4.220 8.300 3.850" Properties=species:S:1:pos:R:3 pbc="T T T"
Zr -0.335 9.150 0.401
Zr -4.385 4.711 0.903
Zr -2.166 9.075 2.927
Zr -0.533 3.132 0.086
Zr -2.440 5.011 -1.519
Zr -2.710 5.423 4.465
Zr 0.106 4.268 3.868
Zr -5.377 1.829 1.950
Zr -1.472 0.228 1.122
Zr -2.416 2.957 2.564
Zr -0.209 7.297 4.577
Th -1.255 3.631 6.734
Zr 1.685 7.495 2.110
Zr -3.462 2.004 -0.526
Zr -3.388 0.088 3.525
Tm -1.348 6.066 1.585
```

SG: No. 38
Calculated volume, A^3/atom: 24.1
ΔE_f, meV/atom: 73.1
Uncorrected energy, eV/atom: -8.15



No. 2
Below is RbBi after structural relaxation, with properties calculated at the PBE level.

```
4
Lattice="-1.948 -2.157 3.685 -4.455 -2.190 -3.636 6.645 -2.913 -1.181" Properties=species:S:1:pos:R:3 pbc="T T T"
Bi -0.918 -3.353 0.541
Rb -2.566 -2.787 -2.987
Bi 1.161 -3.906 -1.673
Rb 2.809 -4.473 1.856
```

SG: No. 74
Calculated volume, A^3/atom: 45.1
ΔE_f, meV/atom: -315.6
Excess energy over the best structure of this formula in the dataset, meV per atom: 38.7
Uncorrected energy, eV/atom: -2.74



No. 3
Below is HgBiAsCl after structural relaxation, with properties calculated at the PBE level.

```
4
Lattice="4.060 0.000 0.000 2.030 3.571 0.248 2.030 1.717 8.037" Properties=species:S:1:pos:R:3 pbc="T T T"
Cl 4.060 2.923 2.772
Bi 2.030 2.201 0.369
Hg 6.090 3.371 4.782
As 4.060 1.615 6.663
```

SG: No. 8
Calculated volume, A^3/atom: 28.7
Uncorrected energy, eV/atom: -2.84
Raw formation energy, eV/atom: -0.172



No. 4
Below is Ca2CrCu after structural relaxation, with properties calculated at the PBE level.

```
4
Lattice="6.257 0.045 0.055 5.201 3.479 0.055 2.073 0.638 4.650" Properties=species:S:1:pos:R:3 pbc="T T T"
Cr 7.257 2.232 2.136
Cu 3.125 0.961 1.325
Ca 11.135 3.425 0.261
Ca 10.237 3.149 3.528
```

SG: No. 8
Calculated volume, A^3/atom: 24.9
ΔE_f, meV/atom: 314.1
Excess energy over the best structure of this formula in the dataset, meV per atom: 56.0
Uncorrected energy, eV/atom: -4.12



No. 5
Below is Tb2TiNbN5 after structural relaxation, with properties calculated at the PBE level.

```
18
Lattice="3.295 0.000 0.000 -1.647 6.655 0.000 0.000 0.000 10.282" Properties=species:S:1:pos:R:3 pbc="T T T"
N 0.000 6.615 8.041
N 1.647 0.039 2.900
N 0.000 0.740 0.537
N 1.647 5.915 5.678
Nb 1.647 3.718 5.227
Tb 1.647 5.261 1.949
N 1.647 1.712 5.129
Ti 0.000 6.305 4.761
Tb 0.000 1.838 2.969
Ti 1.647 0.349 9.902
Tb 1.647 4.817 8.110
Tb 0.000 1.394 7.090
N 1.647 2.510 9.114
N 0.000 4.943 10.270
N 0.000 4.144 3.973
N 1.647 2.948 1.592
Nb 0.000 2.937 0.086
N 0.000 3.707 6.733
```

SG: No. 36
Calculated volume, A^3/atom: 12.5
Uncorrected energy, eV/atom: -9.01
Raw formation energy, eV/atom: -1.363



No. 6
Below is K2SrCuF6 after structural relaxation, with properties calculated at the PBE level.

```
20
Lattice="-1.460 5.826 -1.488 -4.319 0.101 4.634 5.877 2.897 5.414" Properties=species:S:1:pos:R:3 pbc="T T T"
Cu -2.160 0.051 2.317
F -2.310 6.080 2.258
F 2.408 2.745 6.302
K 1.332 5.202 5.818
F -0.892 3.158 5.348
F 0.687 4.164 0.762
F 3.282 7.066 5.552
Cu 2.209 4.362 1.963
F -3.184 1.758 3.009
F -0.589 4.661 7.798
K 2.776 7.942 2.774
F -0.971 1.299 0.984
K -2.678 0.882 5.787
Sr -0.730 2.913 -0.744
F 1.554 2.693 3.073
Sr 0.779 1.499 5.024
F -1.456 6.131 5.487
F 0.991 5.667 3.212
K -1.233 3.623 2.742
F 1.069 7.525 7.576
```

SG: No. 14
Calculated volume, A^3/atom: 16.7
Uncorrected energy, eV/atom: -4.64
Raw formation energy, eV/atom: -2.718



No. 7
Below is CsNiOs after structural relaxation, with properties calculated at the PBE level.

```
6
Lattice="4.937 0.000 -0.001 0.000 4.055 0.000 -0.819 0.000 10.358" Properties=species:S:1:pos:R:3 pbc="T T T"
Os 0.169 1.014 5.584
Cs 1.214 1.014 2.231
Cs 2.904 3.041 8.125
Ni 2.629 1.014 5.384
Os 3.949 3.041 4.773
Ni 1.489 3.041 4.973
```

SG: No. 11
Calculated volume, A^3/atom: 34.6
ΔE_f, meV/atom: 524.9
Excess energy over the best structure of this formula in the dataset, meV per atom: 64.1
Uncorrected energy, eV/atom: -5.43



No. 8
Below is Mg2ReSi after structural relaxation, with properties calculated at the PBE level.

```
4
Lattice="-2.192 -1.657 -0.853 2.533 -1.230 -0.593 -0.078 -3.992 7.954" Properties=species:S:1:pos:R:3 pbc="T T T"
Mg -0.076 -3.915 7.800
Re -0.041 -2.090 4.165
Mg 0.149 -2.524 1.430
Si 0.114 -4.338 5.045
```

SG: No. 35
Calculated volume, A^3/atom: 17.2
Uncorrected energy, eV/atom: -5.06
Raw formation energy, eV/atom: 0.210



No. 9
Below is Rb2MnCr2Se6 after structural relaxation, with properties calculated at the PBE level.

```
11
Lattice="6.496 -0.020 0.039 -3.228 5.637 0.039 -1.152 -1.980 7.968" Properties=species:S:1:pos:R:3 pbc="T T T"
Rb 4.865 0.930 0.039
Mn -0.576 -0.990 3.984
Se 3.749 2.784 2.707
Se 0.516 0.887 2.664
Cr -0.571 2.767 4.024
Rb -1.596 4.688 0.039
Cr 2.688 0.871 4.024
Se 1.549 -0.997 5.340
Se 0.567 4.635 2.707
Se 1.601 2.752 5.383
Se -1.632 0.854 5.340
```

SG: No. 12
Calculated volume, A^3/atom: 26.6
Uncorrected energy, eV/atom: -5.40
Raw formation energy, eV/atom: -0.744



No. 10
Below is TeP3 after structural relaxation, with properties calculated at the PBE level.

```
4
Lattice="-1.818 -2.983 2.308 2.453 1.011 3.239 -2.865 2.759 1.309" Properties=species:S:1:pos:R:3 pbc="T T T"
P -2.342 -0.112 1.809
P -0.206 1.885 2.274
Te 0.000 0.000 0.000
P 0.318 -0.986 2.774
```

SG: No. 221
Calculated volume, A^3/atom: 18.4
Excess energy over the best structure of this formula in the dataset, meV per atom: 772.0
Uncorrected energy, eV/atom: -3.87
Raw formation energy, eV/atom: 0.971



No. 11
Below is Rb2SnAs2 after structural relaxation, with properties calculated at the PBE level.

```
10
Lattice="7.604 0.000 0.000 0.000 7.604 0.000 0.000 0.000 5.660" Properties=species:S:1:pos:R:3 pbc="T T T"
Rb 2.422 1.380 2.830
Sn 3.802 3.802 0.000
Rb 1.380 5.182 2.830
As 2.933 6.735 0.000
Rb 6.225 2.422 2.830
Rb 5.182 6.225 2.830
Sn 0.000 0.000 0.000
As 0.869 2.933 0.000
As 6.735 4.671 0.000
As 4.671 0.869 0.000
```

SG: No. 127
Calculated volume, A^3/atom: 32.7
ΔE_f, meV/atom: -268.7
Uncorrected energy, eV/atom: -3.32



No. 12
Below is KScCd2 after structural relaxation, with properties calculated at the PBE level.

```
4
Lattice="5.605 0.000 0.000 0.000 3.316 -0.003 0.000 0.007 5.734" Properties=species:S:1:pos:R:3 pbc="T T T"
K 0.000 2.075 2.363
Cd 2.802 0.417 1.852
Sc 2.802 2.079 4.891
Cd 0.000 0.420 5.225
```

SG: No. 25
Calculated volume, A^3/atom: 26.6
ΔE_f, meV/atom: 31.7
Excess energy over the best structure of this formula in the dataset, meV per atom: 97.6
Uncorrected energy, eV/atom: -2.28



Q: Which formula does entry 10 have?
A: TeP3